The following is a DFT calculation (PBE) of a geometry-optimized Tb2SmRh structure.

```
Tb2SmRh
1.0
3.681 0.000 0.000
-1.841 3.188 0.000
0.000 0.000 31.744
Tb Sm Rh
6 3 3
Cartesian
0.000 0.000 3.553
0.000 0.000 28.191
0.000 2.125 17.610
0.000 2.125 24.716
1.841 1.063 7.029
1.841 1.063 14.134
0.000 0.000 0.000
0.000 2.125 21.163
1.841 1.063 10.581
0.000 0.000 15.872
0.000 2.125 5.291
1.841 1.063 26.454
```

Calculated values
* E_tot: -5.4906 eV/atom
* total moment: 0.236 μB/f.u.
* energy above the lowest structure with this stoichiometry: 0.340 eV/atom